No. 1
## ReAg3 (GGA-PBEsol)

Data for ReAg3 after structural relaxation.

Unit cell a=2.7671 b=2.7671 c=9.6405 alpha=81.75 beta=81.75 gamma=60.00
Sites, in units of the cell vectors:
Re (0.0000, 0.0000, 0.0000)
Ag (0.2507, 0.2507, 0.2478)
Ag (0.5000, 0.5000, 0.5000)
Ag (0.7493, 0.7493, 0.7522)

Total magnetic moment = 0.00 μB/f.u.
Energy of formation = 340.9 meV/atom


No. 2
## CsRb2Na2 (GGA-PBEsol)

Data for CsRb2Na2 after structural relaxation.

Unit cell a=6.2989 b=6.2989 c=10.0382 alpha=108.29 beta=108.29 gamma=90.00
Sites, in units of the cell vectors:
Cs (0.0000, 0.0000, 0.0000)
Na (0.4061, 0.4061, 0.8123)
Na (0.5939, 0.5939, 0.1877)
Rb (0.2500, 0.7500, 0.5000)
Rb (0.7500, 0.2500, 0.5000)

Total magnetic moment = 0.00 μB/f.u.
Energy of formation = 50.0 meV/atom


Number 1: polymorph energy (0 for the lowest one) 0 meV/atom, calculated volume 63 Å³ per cell, electronic total energy -5.476 eV per atom. Number 2: polymorph energy (0 for the lowest one) 16 meV/atom, calculated volume 357 Å³ per cell, electronic total energy -1.109 eV per atom.